The following is a DFT calculation (PBE) of an optimized crystal structure of TbTm2Al3Si2Pd.

a = 4.2308 Å, b = 11.8714 Å, c = 6.8395 Å
α = 90.00°, β = 90.00°, γ = 90.00°
Closest atoms and distances in Å follow each position.
Space group Amm2 (No. 38)
Inequivalent atoms, fractional coordinates:
Tb 0.0000 0.0000 0.0000 (multiplicity 2)  1 Pd 2.89, 4 Si 2.97, 2 Al 3.16
Tm 0.0000 0.2090 0.6267 (multiplicity 4)  1 Pd 2.85, 4 Si 2.94, 2 Al 3.16
Al 0.5000 0.0000 0.6575 (multiplicity 2)  2 Pd 2.65, 2 Si 2.68, 2 Al 2.83
Al 0.5000 0.1201 0.2994 (multiplicity 4)  2 Si 2.64-2.67, 2 Pd 2.69, 2 Al 2.83-2.85
Si 0.5000 0.1686 0.9177 (multiplicity 4)  3 Al 2.64-2.68, 4 Tm 2.94
Pd 0.0000 0.0000 0.4231 (multiplicity 2)  6 Al 2.65-2.69, 2 Tm 2.85, 1 Tb 2.89

Properties
uncorrected energy: -0.196 hartree per atom
total magnetic moment: 0.002 μB per formula unit

---

The following is a DFT calculation (PBE) of an optimized crystal structure of GaFe2Cu.

a = 5.7923 Å, b = 5.7923 Å, c = 5.7923 Å
α = 90.00°, β = 90.00°, γ = 90.00°
Closest atoms and distances in Å follow each position.
Space group F-43m (No. 216)
Inequivalent atoms, fractional coordinates:
Ga 0.0000 0.0000 0.0000 (multiplicity 4)  4 Fe 2.51, 4 Cu 2.51
Fe 0.0000 0.0000 0.5000 (multiplicity 4)  4 Fe 2.51, 4 Cu 2.51
Fe 0.2500 0.2500 0.2500 (multiplicity 4)  4 Fe 2.51, 4 Ga 2.51
Cu 0.2500 0.2500 0.7500 (multiplicity 4)  4 Fe 2.51, 4 Ga 2.51

Properties
uncorrected energy: -0.215 hartree per atom
total magnetic moment: 4.388 μB per formula unit

---

The following is a DFT calculation (PBE) of an optimized crystal structure of MgOs2.

a = 11.7014 Å, b = 11.7014 Å, c = 11.7014 Å
α = 90.00°, β = 90.00°, γ = 90.00°
Closest atoms and distances in Å follow each position.
Space group Fd-3m (No. 227, origin choice 2)
Inequivalent atoms, fractional coordinates:
Mg 0.1250 0.1250 0.1250 (multiplicity 8)  4 Os 2.53
Os 0.0000 0.0000 0.0000 (multiplicity 16)  2 Mg 2.53

Properties
uncorrected energy: -0.131 hartree per atom
total magnetic moment: 6.068 μB per formula unit

---

The following is a DFT calculation (PBE) of an optimized crystal structure of RbSnIr.

a = 7.1717 Å, b = 7.1717 Å, c = 7.1717 Å
α = 90.00°, β = 90.00°, γ = 90.00°
Closest atoms and distances in Å follow each position.
Space group F-43m (No. 216)
Inequivalent atoms, fractional coordinates:
Rb 0.0000 0.0000 0.0000 (multiplicity 4)  4 Ir 3.11, 4 Sn 3.11
Sn 0.2500 0.2500 0.2500 (multiplicity 4)  4 Rb 3.11
Ir 0.2500 0.2500 0.7500 (multiplicity 4)  4 Rb 3.11

Properties
distance to the lowest polymorph of the same formula: 1028.1 meV per atom
total magnetic moment: 0.002 μB per formula unit

---

Question: Among the records above, which one has the highest total magnetic moment?
Answer: MgOs2